Density functional theory data (PBE) for Sc2P2Cl after structural relaxation. Values from VASP.

* raw total energy: -6.3307 eV per atom
* E_form (uncorrected): -1.265 eV/atom
* energy above the most stable polymorph in this dataset: 0.0000 eV per atom
* calculated volume: 181.8 Å³ per cell

```
&SYSTEM
  ibrav = 0, nat = 10, ntyp = 3
/
ATOMIC_SPECIES
Sc 44.96 Sc.upf
P 30.97 P.upf
Cl 35.45 Cl.upf
ATOMIC_POSITIONS crystal
Sc 0.172 0.328 0.000
Sc 0.328 0.828 0.000
Sc 0.672 0.172 0.000
Sc 0.828 0.672 0.000
P 0.114 0.614 0.500
P 0.386 0.114 0.500
P 0.614 0.886 0.500
P 0.886 0.386 0.500
Cl 0.000 0.000 0.000
Cl 0.500 0.500 0.000
CELL_PARAMETERS angstrom
7.061 0.000 0.000
0.000 7.061 0.000
0.000 0.000 3.647
```